# P2PbAuS8 PBE-GGA optimized geometry
# Formation energy from raw total energies = -0.0407 eV per atom
# Spin magnetization = 0.0 μB/f.u.
data_P2PbAuS8
_chemical_formula_sum 'P2 Pb1 Au1 S8'
_cell_length_a 5.8709
_cell_length_b 5.8709
_cell_length_c 8.7329
_cell_angle_alpha 90.00
_cell_angle_beta 90.00
_cell_angle_gamma 120.00
_symmetry_space_group_name_H-M 'P -3'
_symmetry_Int_Tables_number 147
_symmetry_space_group_name_Hall '-P 3'
loop_
_atom_site_label
_atom_site_type_symbol
_atom_site_fract_x
_atom_site_fract_y
_atom_site_fract_z
P1 P 0.3333 0.6667 0.2495
Pb1 Pb 0.0000 0.0000 0.5000
Au1 Au 0.0000 0.0000 0.0000
S1 S 0.0094 0.6723 0.8152
S2 S 0.3333 0.6667 0.4803

# TcP2PbAu PBE-GGA optimized geometry
# Energy relative to the elements = 377 meV/atom
# Spin magnetization = 0.0 μB/f.u.
data_TcP2PbAu
_chemical_formula_sum 'Tc1 P2 Pb1 Au1'
_cell_length_a 4.480
_cell_length_b 4.480
_cell_length_c 5.838
_cell_angle_alpha 90.00
_cell_angle_beta 90.00
_cell_angle_gamma 90.00
_symmetry_space_group_name_H-M 'P 4/m m m'
_symmetry_Int_Tables_number 123
_symmetry_space_group_name_Hall '-P 4 2'
loop_
_atom_site_label
_atom_site_type_symbol
_atom_site_fract_x
_atom_site_fract_y
_atom_site_fract_z
Tc1 Tc 0.000 0.000 0.000
P1 P 0.000 0.500 0.000
Pb1 Pb 0.000 0.000 0.500
Au1 Au 0.500 0.500 0.500